[1]
BaIr2Os PBE optimized geometry; size of the total moment = 0.0 μB/f.u.; formation energy = 870 meV/atom; energy above the lowest structure with this stoichiometry = 0.751 eV per atom
1.0
3.616 0.000 0.000
0.000 5.715 0.000
0.000 0.000 9.179
Ba Ir Os
2 4 2
direct
0.000 0.000 0.000
0.500 0.500 0.500
0.000 0.500 0.179
0.000 0.500 0.821
0.500 0.000 0.321
0.500 0.000 0.679
0.000 0.000 0.500
0.500 0.500 0.000


[2]
RbNa3O PBE optimized geometry; size of the total moment = 0.0 μB/f.u.; ΔE_f (raw) = -0.41 eV per atom; energy above the lowest structure with this stoichiometry = 0.211 eV per atom
1.0
5.183 0.000 0.000
0.000 5.183 0.000
0.000 0.000 5.183
Rb Na O
1 3 1
direct
0.000 0.000 0.000
0.000 0.500 0.500
0.500 0.000 0.500
0.500 0.500 0.000
0.500 0.500 0.500


[3]
CuPb2Au PBE optimized geometry; size of the total moment = 0.0 μB/f.u.; formation energy = 156 meV/atom; energy above the lowest structure with this stoichiometry = 0.120 eV per atom
1.0
3.534 0.000 0.000
0.000 3.617 0.000
-0.111 0.000 7.177
Cu Pb Au
1 2 1
direct
0.000 0.000 0.000
0.494 0.500 0.239
0.506 0.500 0.761
0.000 0.000 0.500


[4]
Sr3Li2Cd PBE optimized geometry; size of the total moment = 0.0 μB/f.u.; formation energy = -98 meV/atom; energy above the lowest structure with this stoichiometry = 0.003 eV per atom
1.0
5.852 0.000 0.000
-2.926 5.068 0.000
0.000 0.000 14.435
Sr Li Cd
6 4 2
direct
0.000 0.000 0.244
0.000 0.000 0.756
0.333 0.667 0.411
0.333 0.667 0.918
0.667 0.333 0.082
0.667 0.333 0.589
0.000 0.000 0.000
0.000 0.000 0.500
0.333 0.667 0.666
0.667 0.333 0.334
0.333 0.667 0.164
0.667 0.333 0.836


[5]
Pm4In3Pb PBE optimized geometry; size of the total moment = 0.0 μB/f.u.; formation energy = -485 meV/atom
1.0
4.424 0.000 0.000
0.000 4.714 0.000
0.000 0.000 11.803
Pm In Pb
4 3 1
direct
0.000 0.000 0.000
0.000 0.500 0.493
0.500 0.000 0.724
0.500 0.500 0.223
0.000 0.000 0.278
0.500 0.000 0.446
0.500 0.500 0.948
0.000 0.500 0.772


[6]
GePdS2 PBE optimized geometry; size of the total moment = 0.0 μB/f.u.; ΔE_f (raw) = -0.07 eV per atom
1.0
3.599 0.000 0.000
-1.799 3.117 0.000
0.000 0.000 19.010
Ge Pd S
3 3 6
direct
0.000 0.000 0.000
0.333 0.667 0.667
0.667 0.333 0.333
0.000 0.000 0.167
0.333 0.667 0.833
0.667 0.333 0.500
0.000 0.000 0.573
0.000 0.000 0.755
0.333 0.667 0.239
0.333 0.667 0.422
0.667 0.333 0.089
0.667 0.333 0.906


[7]
Pm7Er2Sc PBE optimized geometry; size of the total moment = 0.0 μB/f.u.; formation energy = 665 meV/atom
1.0
4.410 -8.495 0.000
4.410 8.495 0.000
0.000 0.000 5.319
Pm Er Sc
7 2 1
direct
0.000 0.000 0.000
0.213 0.429 0.000
0.301 0.699 0.500
0.429 0.213 0.000
0.571 0.787 0.000
0.699 0.301 0.500
0.787 0.571 0.000
0.204 0.796 0.000
0.796 0.204 0.000
0.500 0.500 0.500


[8]
NbTl2CrB PBE optimized geometry; size of the total moment = 0.0 μB/f.u.; formation energy = 1157 meV/atom
1.0
4.740 0.000 0.000
0.000 4.740 0.000
0.000 0.000 4.001
Nb Tl Cr B
1 2 1 1
direct
0.000 0.000 0.000
0.000 0.500 0.500
0.500 0.000 0.500
0.500 0.500 0.000
0.500 0.500 0.500


[9]
Cs2KAgPt PBE optimized geometry; size of the total moment = 0.0 μB/f.u.; formation energy = 149 meV/atom; energy above the lowest structure with this stoichiometry = 0.074 eV per atom
1.0
6.649 0.000 0.000
0.000 6.649 0.000
0.000 0.000 5.407
Cs K Ag Pt
2 1 1 1
direct
0.000 0.500 0.000
0.500 0.000 0.000
0.000 0.000 0.500
0.500 0.500 0.500
0.500 0.500 0.000


[10]
TmPu2Se4 PBE optimized geometry; size of the total moment = 11.0 μB/f.u.; ΔE_f (raw) = -1.56 eV per atom
1.0
1.988 -6.794 0.000
1.988 6.794 0.000
0.000 0.000 13.906
Tm Pu Se
2 4 8
direct
0.123 0.877 0.750
0.877 0.123 0.250
0.367 0.633 0.570
0.367 0.633 0.930
0.633 0.367 0.070
0.633 0.367 0.430
0.000 0.000 0.000
0.000 0.000 0.500
0.280 0.720 0.126
0.280 0.720 0.374
0.474 0.526 0.750
0.526 0.474 0.250
0.720 0.280 0.626
0.720 0.280 0.874


Number 1: calculated volume 189.7 Å³ per cell. Number 2: calculated volume 139.2 Å³ per cell. Number 3: calculated volume 91.8 Å³ per cell. Number 4: calculated volume 428.1 Å³ per cell. Number 5: calculated volume 246.1 Å³ per cell. Number 6: calculated volume 213.2 Å³ per cell. Number 7: calculated volume 398.6 Å³ per cell. Number 8: calculated volume 89.9 Å³ per cell. Number 9: calculated volume 239.0 Å³ per cell. Number 10: calculated volume 375.5 Å³ per cell.